Computed, not measured: an optimized crystal structure of Cs2BaCl7 at the PBE level of DFT.

Cell: 7.7385 7.7385 8.6357 Å, 63.38 63.38 90.00°
Each line ends with the local moment (μB).
Element x y z (fractional)
1 Ba 0.0000 0.0000 0.0000  0.04
2 Cl 0.7271 0.2729 0.0000  0.07
3 Cl 0.2729 0.2729 0.0000  0.11
4 Cl 0.2729 0.7271 0.0000  0.07
5 Cl 0.7271 0.7271 0.0000  0.11
6 Cs 0.2500 0.7500 0.5000  0.00
7 Cl 0.2240 0.2240 0.5520  0.00
8 Cl 0.7760 0.7760 0.4480  0.00
9 Cs 0.7500 0.2500 0.5000  0.00
10 Cl 0.5000 0.5000 0.0000  0.41

Total DFT energy (no corrections)   -2.98 eV/atom

Computed, not measured: an optimized crystal structure of Cs3Ba5Cl12 at the PBE level of DFT.

Cell: 16.8258 16.8258 16.8258 Å, 109.47 109.47 109.47°
Element x y z (fractional)
1 Cl 0.3766 0.4072 0.0805
2 Cl 0.8267 0.9195 0.2961
3 Cs 0.6250 0.2500 0.3750
4 Cl 0.5928 0.9694 0.6733
5 Cl 0.6234 0.5928 0.9195
6 Cl 0.9072 0.8267 0.5306
7 Ba 0.0000 0.5000 0.5000
8 Cl 0.8766 0.5805 0.9072
9 Cl 0.0306 0.4072 0.8267
10 Cl 0.0306 0.6234 0.7039
11 Cl 0.0805 0.1733 0.2039
12 Cl 0.9195 0.0928 0.6234
13 Cs 0.2500 0.6250 0.8750
14 Cl 0.5805 0.7039 0.6733
15 Ba 0.5000 0.5000 0.0000
16 Cl 0.1733 0.0805 0.7039
17 Cl 0.1733 0.0928 0.9694
18 Cs 0.1250 0.2500 0.8750
19 Cs 0.7500 0.8750 0.6250
20 Cl 0.2039 0.6733 0.0805
21 Cl 0.4195 0.1234 0.5928
22 Cl 0.1234 0.4195 0.0928
23 Cl 0.3766 0.9694 0.7961
24 Ba 0.5000 0.0000 0.5000
25 Cl 0.5306 0.2039 0.1234
26 Ba 0.5000 0.0000 0.0000
27 Ba 0.7500 0.6250 0.3750
28 Cl 0.2961 0.8766 0.9694
29 Ba 0.1250 0.7500 0.3750
30 Ba 0.8750 0.2500 0.6250
31 Ba 0.8750 0.6250 0.7500
32 Ba 0.0000 0.5000 0.0000
33 Cl 0.7961 0.4694 0.3766
34 Cl 0.8766 0.2961 0.4694
35 Ba 0.2500 0.8750 0.1250
36 Ba 0.0000 0.0000 0.0000
37 Ba 0.6250 0.8750 0.2500
38 Ba 0.0000 0.0000 0.5000
39 Ba 0.6250 0.7500 0.8750
40 Cl 0.4694 0.6733 0.0928
41 Ba 0.5000 0.5000 0.5000
42 Cl 0.0928 0.1733 0.4694
43 Cl 0.9694 0.3766 0.2961
44 Cl 0.1234 0.7039 0.5306
45 Cl 0.4072 0.3766 0.5805
46 Cl 0.5805 0.8766 0.4072
47 Cl 0.7039 0.1234 0.0306
48 Cl 0.6733 0.2039 0.5805
49 Cl 0.3267 0.7961 0.4195
50 Ba 0.7500 0.1250 0.8750
51 Cs 0.8750 0.7500 0.1250
52 Cl 0.4694 0.7961 0.8766
53 Cl 0.2039 0.5306 0.6234
54 Cs 0.8750 0.1250 0.2500
55 Cl 0.2961 0.4195 0.8267
56 Cs 0.3750 0.7500 0.6250
57 Ba 0.2500 0.3750 0.6250
58 Cl 0.7961 0.3267 0.9195
59 Cl 0.6234 0.0306 0.2039
60 Cl 0.7039 0.5805 0.1733
61 Cl 0.4195 0.2961 0.3267
62 Cl 0.4072 0.0306 0.3267
63 Cl 0.8267 0.9072 0.0306
64 Cl 0.3267 0.5306 0.4072
65 Cs 0.7500 0.3750 0.1250
66 Cl 0.5928 0.6234 0.4195
67 Cs 0.1250 0.8750 0.7500
68 Cl 0.9072 0.0805 0.8766
69 Ba 0.1250 0.3750 0.2500
70 Cl 0.0928 0.9195 0.1234
71 Cs 0.6250 0.3750 0.7500
72 Ba 0.3750 0.2500 0.1250
73 Cl 0.9195 0.8267 0.7961
74 Cl 0.0805 0.9072 0.3766
75 Cs 0.2500 0.1250 0.3750
76 Cs 0.3750 0.6250 0.2500
77 Cl 0.6733 0.4694 0.5928
78 Ba 0.3750 0.1250 0.7500
79 Cl 0.9694 0.5928 0.1733
80 Cl 0.5306 0.3267 0.9072

Total DFT energy (no corrections)   -3.92 eV/atom

Computed, not measured: an optimized crystal structure of Cs4BaCu3Cl12 at the PBE level of DFT.

Cell: 9.0896 9.0896 9.0896 Å, 109.47 109.47 109.47°
Each line ends with the local moment (μB).
Element x y z (fractional)
1 Ba 0.0000 0.0000 0.0000  0.03
2 Cs 0.0000 0.5000 0.0000  0.00
3 Cu 0.5000 0.5000 0.0000  0.37
4 Cl 0.0000 0.2825 0.2825  0.05
5 Cl 0.2825 0.0000 0.2825  0.05
6 Cs 0.5000 0.5000 0.5000  0.00
7 Cl 0.7500 0.2500 0.5000  0.08
8 Cs 0.5000 0.0000 0.0000  0.00
9 Cl 0.2825 0.2825 0.0000  0.05
10 Cl 0.2500 0.7500 0.5000  0.08
11 Cl 0.5000 0.7500 0.2500  0.08
12 Cl 0.2500 0.5000 0.7500  0.08
13 Cu 0.5000 0.0000 0.5000  0.37
14 Cs 0.0000 0.0000 0.5000  0.00
15 Cl 0.5000 0.2500 0.7500  0.08
16 Cu 0.0000 0.5000 0.5000  0.37
17 Cl 0.7175 0.7175 0.0000  0.05
18 Cl 0.7175 0.0000 0.7175  0.05
19 Cl 0.7500 0.5000 0.2500  0.08
20 Cl 0.0000 0.7175 0.7175  0.05

Total DFT energy (no corrections)   -3.34 eV/atom

Computed, not measured: an optimized crystal structure of Cs2BaCuCl6 at the PBE level of DFT.

Cell: 7.5270 7.5270 8.0740 Å, 62.22 62.22 90.00°
Each line ends with the local moment (μB).
Element x y z (fractional)
1 Cu 0.5000 0.5000 0.0000  0.53
2 Cl 0.2838 0.7162 0.0000  0.09
3 Ba 0.0000 0.0000 0.0000  0.02
4 Cl 0.7162 0.2838 0.0000  0.09
5 Cs 0.7500 0.2500 0.5000  0.00
6 Cl 0.2463 0.2463 0.5074  0.00
7 Cl 0.7162 0.7162 0.0000  0.09
8 Cs 0.2500 0.7500 0.5000  0.00
9 Cl 0.7537 0.7537 0.4926  0.00
10 Cl 0.2838 0.2838 0.0000  0.09

Total DFT energy (no corrections)   -3.54 eV/atom